Li2ZnAu: relaxed, PBE.

a b c (Å): 3.948 3.948 3.803
angles (deg): 90.00 90.00 90.00
Fractional coordinates of all 4 atoms:
Li1 0.000 0.500 0.500
Li2 0.500 0.000 0.500
Zn1 0.500 0.500 0.000
Au1 0.000 0.000 0.000

Calculated values
- total DFT energy (no corrections) (Ha/atom) = -0.091
- crystal system = tetragonal
- symmetry = P4/mmm